[1]
# In3SbAu4

Crystalline In3SbAu4 at its relaxed geometry (PBE, OQMD via LeMat-Bulk).

It has space group Imm2 (No. 44), with a = 5.795 Å, b = 10.706 Å, c = 5.959 Å, α = 90.00°, β = 90.00° and γ = 90.00°. The asymmetric unit holds In at (0.000, 0.000, 0.000), In at (0.000, 0.270, 0.807), Sb at (0.000, 0.500, 0.331), Au at (0.000, 0.233, 0.323) and Au at (0.248, 0.000, 0.425).

---

[2]
# InSb2Au2

Crystalline InSb2Au2 at its relaxed geometry (PBE, OQMD via LeMat-Bulk).

It has space group Cmcm (No. 63), with a = 3.201 Å, b = 13.206 Å, c = 12.274 Å, α = 90.00°, β = 90.00° and γ = 90.00°. The asymmetric unit holds In at (0.000, 0.034, 0.250), Sb at (0.000, 0.313, 0.590), Au at (0.000, 0.167, 0.750) and Au at (0.000, 0.500, 0.000).

---

| no. | total energy (eV/atom) |
| --- | --- |
| 1 | -3.259 |
| 2 | -3.374 |